Density functional theory data (SCAN) for a PBEsol-optimized structure of Mg2SbAs.

Unit cell a=3.1969 b=4.3798 c=6.4210 alpha=90.00 beta=90.00 gamma=90.00
Fractional positions:
Mg 0.0000 0.0000 0.0000
Mg 0.5000 0.5000 0.3358
Sb 0.0000 0.0000 0.5151
As 0.5000 0.5000 0.9227

Properties
The value obtained for the density is 4.53 Mg/m³. The space-group type is Pmm2 (25). As for the energy above the lowest structure with this stoichiometry: 0.0 kJ per mole of atoms. The value obtained for the formation energy from raw total energies is -0.290 eV/atom. The value obtained for the size of the total moment is 0.00 μB/f.u.


Density functional theory data (SCAN) for a PBEsol-optimized structure of MgSb2As.

Unit cell a=7.7060 b=7.7060 c=7.7060 alpha=29.63 beta=29.63 gamma=29.63
Fractional positions:
Mg 0.0000 0.0000 0.0000
Sb 0.2447 0.2447 0.2447
Sb 0.7553 0.7553 0.7553
As 0.5000 0.5000 0.5000

Properties
The value obtained for the density is 5.75 Mg/m³. The space-group type is R-3m (166). As for the energy above the lowest structure with this stoichiometry: 0.0 kJ per mole of atoms. The value obtained for the formation energy from raw total energies is -0.002 eV/atom. The value obtained for the size of the total moment is 0.00 μB/f.u.